Record 1
## ZrSeCl2 (GGA-PBE)

Data for ZrSeCl2 after structural relaxation.

ΔE_f (raw)	-1175	meV/atom
magnetic moment	0.0	Bohr magnetons per cell

Lattice parameters (Å, degrees): 7.7905 7.7905 4.7522 72.27 72.27 24.30
With the nearest neighbours (Å) after each atom.
Fractional coordinates of all 4 atoms:
Se 0.7500 0.7500 0.7500  4 Zr 2.89, 4 Cl 3.15
Cl 0.8926 0.8926 0.1076  2 Zr 2.64
Cl 0.6074 0.6074 0.3924  2 Zr 2.64
Zr 0.2500 0.2500 0.2500  4 Cl 2.64, 4 Se 2.89

***

Record 2
## ZrSe2Cl (GGA-PBE)

Data for ZrSe2Cl after structural relaxation.

ΔE_f (raw)	-1065	meV/atom
magnetic moment	0.0	Bohr magnetons per cell

Lattice parameters (Å, degrees): 3.8062 5.7139 6.3520 50.12 90.00 90.00
With the nearest neighbours (Å) after each atom.
Fractional coordinates of all 4 atoms:
Cl 0.5000 0.7500 0.7500  2 Zr 2.57
Se 0.0000 0.0461 0.1036  1 Se 2.62, 2 Zr 2.69
Zr 0.5000 0.2500 0.2500  2 Cl 2.57, 4 Se 2.69
Se 0.0000 0.4539 0.3964  1 Se 2.62, 2 Zr 2.69

***

Record 3
## ZrSe2Cl (GGA-PBE)

Data for ZrSe2Cl after structural relaxation.

ΔE_f (raw)	-823	meV/atom
magnetic moment	0.0	Bohr magnetons per cell

Lattice parameters (Å, degrees): 3.6880 3.6880 6.0391 90.00 90.00 90.00
With the nearest neighbours (Å) after each atom.
Fractional coordinates of all 4 atoms:
Cl 0.5000 0.5000 0.7500  2 Zr 3.02, 8 Se 3.13
Zr 0.5000 0.5000 0.2500  8 Se 2.91, 2 Cl 3.02
Se 0.0000 0.0000 0.0363  1 Se 2.58
Se 0.0000 0.0000 0.4637  1 Se 2.58

***

Record 4
## ZrSeCl2 (GGA-PBE)

Data for ZrSeCl2 after structural relaxation.

ΔE_f (raw)	-837	meV/atom
magnetic moment	0.0	Bohr magnetons per cell

Lattice parameters (Å, degrees): 3.1107 3.1107 9.4513 90.00 90.00 90.00
With the nearest neighbours (Å) after each atom.
Fractional coordinates of all 4 atoms:
Se 0.5000 0.5000 0.2500  4 Se 3.11
Cl 0.0000 0.0000 0.5850  4 Zr 2.70
Cl 0.0000 0.0000 0.9150  4 Zr 2.70
Zr 0.5000 0.5000 0.7500  8 Cl 2.70

***

Record 5
## ZrSe2Cl (GGA-PBE)

Data for ZrSe2Cl after structural relaxation.

ΔE_f (raw)	-909	meV/atom
magnetic moment	0.0	Bohr magnetons per cell

Lattice parameters (Å, degrees): 8.5457 8.5457 8.5457 25.99 25.99 25.99
With the nearest neighbours (Å) after each atom.
Fractional coordinates of all 4 atoms:
Zr 0.5000 0.5000 0.5000  6 Se 2.72
Se 0.1034 0.1034 0.1034  1 Cl 2.56, 3 Zr 2.72
Cl 0.0000 0.0000 0.0000  2 Se 2.56
Se 0.8966 0.8966 0.8966  1 Cl 2.56, 3 Zr 2.72

***

Record 6
## ZrSe2Cl (GGA-PBE)

Data for ZrSe2Cl after structural relaxation.

ΔE_f (raw)	-488	meV/atom
magnetic moment	0.0	Bohr magnetons per cell

Lattice parameters (Å, degrees): 4.8616 4.8616 4.8616 60.00 60.00 60.00
With the nearest neighbours (Å) after each atom.
Fractional coordinates of all 4 atoms:
Se 0.2500 0.2500 0.2500  4 Zr 2.98, 4 Cl 2.98
Cl 0.0000 0.0000 0.0000  8 Se 2.98
Zr 0.5000 0.5000 0.5000  8 Se 2.98
Se 0.7500 0.7500 0.7500  4 Zr 2.98, 4 Cl 2.98

***

Record 7
## ZrSeCl2 (GGA-PBE)

Data for ZrSeCl2 after structural relaxation.

ΔE_f (raw)	-757	meV/atom
magnetic moment	0.0	Bohr magnetons per cell

Lattice parameters (Å, degrees): 4.8120 4.8120 4.8120 60.00 60.00 60.00
With the nearest neighbours (Å) after each atom.
Fractional coordinates of all 4 atoms:
Cl 0.2500 0.2500 0.2500  4 Cl 2.95, 4 Se 2.95
Se 0.5000 0.5000 0.5000  4 Cl 2.95, 4 Zr 2.95
Cl 0.0000 0.0000 0.0000  4 Zr 2.95, 4 Cl 2.95
Zr 0.7500 0.7500 0.7500  4 Cl 2.95, 4 Se 2.95

***

Record 8
## ZrSeCl (GGA-PBE)

Data for ZrSeCl after structural relaxation.

ΔE_f (raw)	-1467	meV/atom
magnetic moment	0.0	Bohr magnetons per cell

Lattice parameters (Å, degrees): 3.6657 6.5633 7.7543 111.46 103.67 90.00
With the nearest neighbours (Å) after each atom.
Fractional coordinates of all 6 atoms:
Cl 0.3491 0.6651 0.6982  3 Zr 2.70-2.75
Se 0.1234 0.8063 0.2468  3 Zr 2.65-2.67
Cl 0.6509 0.3349 0.3018  3 Zr 2.70-2.75
Zr 0.7461 0.7844 0.4923  3 Se 2.65-2.67, 3 Cl 2.70-2.75
Zr 0.2539 0.2156 0.5077  3 Se 2.65-2.67, 3 Cl 2.70-2.75
Se 0.8766 0.1937 0.7532  3 Zr 2.65-2.67

***

Record 9
## ZrSeCl2 (GGA-PBE)

Data for ZrSeCl2 after structural relaxation.

ΔE_f (raw)	-1223	meV/atom
magnetic moment	0.0	Bohr magnetons per cell

Lattice parameters (Å, degrees): 9.3381 9.3381 7.0858 48.78 48.78 90.00
With the nearest neighbours (Å) after each atom.
Fractional coordinates of all 8 atoms:
Zr 0.0000 0.0000 0.0000  2 Se 2.57, 4 Cl 2.62
Cl 0.3750 0.2309 0.7500  2 Zr 2.62
Zr 0.7500 0.2500 0.5000  2 Se 2.57, 4 Cl 2.62
Cl 0.9809 0.6250 0.2500  2 Zr 2.62
Cl 0.7691 0.1250 0.2500  2 Zr 2.62
Cl 0.8750 0.0191 0.7500  2 Zr 2.62
Se 0.5000 0.5000 0.0000  2 Zr 2.57
Se 0.2500 0.7500 0.5000  2 Zr 2.57

***

Record 10
## ZrSeCl3 (GGA-PBE)

Data for ZrSeCl3 after structural relaxation.

ΔE_f (raw)	-1506	meV/atom
magnetic moment	0.0	Bohr magnetons per cell

Lattice parameters (Å, degrees): 7.0562 8.3479 12.7990 87.03 82.96 65.00
With the nearest neighbours (Å) after each atom.
Fractional coordinates of all 20 atoms:
Cl 0.0605 0.1620 0.4626  2 Zr 2.59-2.61
Se 0.0450 0.6164 0.3040  1 Se 2.34
Cl 0.2074 0.2766 0.9348  1 Zr 2.35
Cl 0.7926 0.7234 0.0652  1 Zr 2.35
Cl 0.7774 0.1620 0.0374  2 Zr 2.59-2.61
Cl 0.2466 0.9539 0.7092  1 Zr 2.51
Zr 0.1589 0.8650 0.3656  4 Cl 2.35-2.61
Zr 0.0239 0.1350 0.8656  4 Cl 2.35-2.61
Zr 0.8411 0.1350 0.6344  4 Cl 2.35-2.61
Cl 0.5160 0.2766 0.5652  1 Zr 2.35
Se 0.3386 0.6164 0.1960  1 Se 2.34
Zr 0.9761 0.8650 0.1344  4 Cl 2.35-2.61
Cl 0.7995 0.9539 0.7908  1 Zr 2.51
Cl 0.4840 0.7234 0.4348  1 Zr 2.35
Cl 0.2226 0.8380 0.9626  2 Zr 2.59-2.61
Cl 0.7534 0.0461 0.2908  1 Zr 2.51
Se 0.9550 0.3836 0.6960  1 Se 2.34
Cl 0.2005 0.0461 0.2092  1 Zr 2.51
Se 0.6614 0.3836 0.8040  1 Se 2.34
Cl 0.9395 0.8380 0.5374  2 Zr 2.59-2.61

***

Record 11
## ZrSeCl (GGA-PBE)

Data for ZrSeCl after structural relaxation.

ΔE_f (raw)	-1310	meV/atom
magnetic moment	0.0	Bohr magnetons per cell

Lattice parameters (Å, degrees): 7.3520 7.3537 3.3010 77.00 77.00 25.94
With the nearest neighbours (Å) after each atom.
Fractional coordinates of all 3 atoms:
Se 0.2784 0.2781 0.7216  4 Zr 2.77
Cl 0.0501 0.0501 0.9499  4 Zr 2.88-2.89, 1 Se 3.18
Zr 0.6715 0.6718 0.3285  4 Se 2.77, 4 Cl 2.88-2.89

***

Record 12
## ZrSeCl2 (GGA-PBE)

Data for ZrSeCl2 after structural relaxation.

ΔE_f (raw)	-1473	meV/atom
magnetic moment	0.0	Bohr magnetons per cell

Lattice parameters (Å, degrees): 6.4823 6.4823 7.0105 62.42 62.42 30.55
With the nearest neighbours (Å) after each atom.
Fractional coordinates of all 4 atoms:
Zr 0.2482 0.2482 0.3750  2 Se 2.59, 4 Cl 2.60
Se 0.5924 0.5924 0.3766  2 Zr 2.59
Cl 0.7569 0.7569 0.6472  2 Zr 2.60
Cl 0.9025 0.9025 0.1012  2 Zr 2.60

***

Record 13
## ZrSeCl3 (GGA-PBE)

Data for ZrSeCl3 after structural relaxation.

ΔE_f (raw)	-754	meV/atom
magnetic moment	1.5	Bohr magnetons per cell

Lattice parameters (Å, degrees): 5.0693 5.0693 5.0693 90.00 90.00 90.00
With the nearest neighbours (Å) after each atom.
Fractional coordinates of all 5 atoms:
Zr 0.0000 0.0000 0.0000  6 Cl 2.53
Se 0.5000 0.5000 0.5000  12 Cl 3.58
Cl 0.0000 0.0000 0.5000  2 Zr 2.53
Cl 0.0000 0.5000 0.0000  2 Zr 2.53
Cl 0.5000 0.0000 0.0000  2 Zr 2.53

***

Record 14
## Zr6SeCl12 (GGA-PBE)

Data for Zr6SeCl12 after structural relaxation.

ΔE_f (raw)	-1392	meV/atom
magnetic moment	1.8	Bohr magnetons per cell

Lattice parameters (Å, degrees): 8.4142 8.4142 8.4142 103.84 103.84 103.84
With the nearest neighbours (Å) after each atom.
Fractional coordinates of all 19 atoms:
Cl 0.4364 0.4364 0.1752  2 Zr 2.49
Zr 0.1184 0.3554 0.1184  4 Cl 2.49-2.63, 1 Se 2.76
Cl 0.8749 0.1251 0.5000  2 Zr 2.63
Cl 0.5636 0.5636 0.8248  2 Zr 2.49
Cl 0.5636 0.8248 0.5636  2 Zr 2.49
Cl 0.1251 0.8749 0.5000  2 Zr 2.63
Cl 0.5000 0.8749 0.1251  2 Zr 2.63
Cl 0.1251 0.5000 0.8749  2 Zr 2.63
Cl 0.1752 0.4364 0.4364  2 Zr 2.49
Cl 0.4364 0.1752 0.4364  2 Zr 2.49
Zr 0.8816 0.6446 0.8816  4 Cl 2.49-2.63, 1 Se 2.76
Cl 0.5000 0.1251 0.8749  2 Zr 2.63
Zr 0.3554 0.1184 0.1184  4 Cl 2.49-2.63, 1 Se 2.76
Cl 0.8248 0.5636 0.5636  2 Zr 2.49
Se 0.0000 0.0000 0.0000  6 Zr 2.76
Zr 0.6446 0.8816 0.8816  4 Cl 2.49-2.63, 1 Se 2.76
Zr 0.1184 0.1184 0.3554  4 Cl 2.49-2.63, 1 Se 2.76
Cl 0.8749 0.5000 0.1251  2 Zr 2.63
Zr 0.8816 0.8816 0.6446  4 Cl 2.49-2.63, 1 Se 2.76

***

| no. | VASP energy (eV/cell) |
| --- | --- |
| 1 | -20.427 |
| 2 | -21.626 |
| 3 | -20.655 |
| 4 | -19.074 |
| 5 | -20.998 |
| 6 | -19.317 |
| 7 | -18.756 |
| 8 | -36.561 |
| 9 | -41.233 |
| 10 | -100.413 |
| 11 | -17.809 |
| 12 | -21.618 |
| 13 | -21.343 |
| 14 | -103.385 |